Entry 1:
! CoRh4 PBE-GGA optimized geometry; values from VASP
&SYSTEM
  ibrav = 0, nat = 5, ntyp = 2
/
ATOMIC_SPECIES
Co 58.93 Co.upf
Rh 102.91 Rh.upf
ATOMIC_POSITIONS crystal
Co 0.0000 0.0000 0.0000
Rh 0.2500 0.7500 0.5000
Rh 0.5971 0.5971 0.0000
Rh 0.4029 0.4029 0.0000
Rh 0.7500 0.2500 0.5000
CELL_PARAMETERS angstrom
-1.9282 5.6708 3.0834
0.1000 6.5917 -1.3868
-1.3386 -6.3203 -1.9094
! **Formation energy**: 0.565 eV per atom
! **Magnetization**: 2.4 μB/f.u.



Entry 2:
! EuSb2S4 PBE-GGA optimized geometry; values from VASP
&SYSTEM
  ibrav = 0, nat = 28, ntyp = 3
/
ATOMIC_SPECIES
Eu 151.96 Eu.upf
Sb 121.76 Sb.upf
S 32.06 S.upf
ATOMIC_POSITIONS crystal
Eu 0.2500 0.2763 0.3409
Eu 0.2500 0.7763 0.1591
Eu 0.7500 0.7237 0.6591
Eu 0.7500 0.2237 0.8409
Sb 0.2500 0.0655 0.6078
Sb 0.2500 0.5655 0.8922
Sb 0.7500 0.9345 0.3922
Sb 0.7500 0.4345 0.1078
Sb 0.2500 0.1231 0.0759
Sb 0.2500 0.6231 0.4241
Sb 0.7500 0.8769 0.9241
Sb 0.7500 0.3769 0.5759
S 0.2500 0.3137 0.9820
S 0.2500 0.8137 0.5180
S 0.7500 0.6863 0.0180
S 0.7500 0.1863 0.4820
S 0.2500 0.2523 0.6929
S 0.2500 0.7523 0.8071
S 0.7500 0.7477 0.3071
S 0.7500 0.2477 0.1929
S 0.2500 0.0497 0.9082
S 0.2500 0.5497 0.5918
S 0.7500 0.9503 0.0918
S 0.7500 0.4503 0.4082
S 0.2500 0.0115 0.2938
S 0.2500 0.5115 0.2062
S 0.7500 0.9885 0.7062
S 0.7500 0.4885 0.7938
CELL_PARAMETERS angstrom
-0.0531 -3.8503 1.2101
8.7977 -2.4034 -7.2612
9.4744 3.1496 10.4367
! **Calculated total energy**: -0.4241 Ry/atom
! **Magnetization**: 7.0 μB/f.u.



Entry 3:
! EuGe4Sb PBE-GGA optimized geometry; values from VASP
&SYSTEM
  ibrav = 0, nat = 6, ntyp = 3
/
ATOMIC_SPECIES
Eu 151.96 Eu.upf
Sb 121.76 Sb.upf
Ge 72.64 Ge.upf
ATOMIC_POSITIONS crystal
Eu 0.0000 0.0000 0.0000
Sb 0.2500 0.2500 0.2500
Ge 0.6234 0.6234 0.1297
Ge 0.6234 0.1297 0.6234
Ge 0.6234 0.6234 0.6234
Ge 0.1297 0.6234 0.6234
CELL_PARAMETERS angstrom
5.7137 0.0000 0.0000
2.8569 4.9483 0.0000
2.8569 1.6494 4.6653
! **Calculated total energy**: -0.4115 Ry/atom
! **Magnetization**: 7.1 μB/f.u.



Entry 4:
! ReSn2I PBE-GGA optimized geometry; values from VASP
&SYSTEM
  ibrav = 0, nat = 4, ntyp = 3
/
ATOMIC_SPECIES
I 126.90 I.upf
Re 186.21 Re.upf
Sn 118.71 Sn.upf
ATOMIC_POSITIONS crystal
I 0.0000 0.0000 0.0000
Re 0.5000 0.5000 0.5000
Sn 0.2500 0.2500 0.2500
Sn 0.7500 0.7500 0.7500
CELL_PARAMETERS angstrom
0.0000 3.6719 3.6719
3.6719 0.0000 3.6719
3.6719 3.6719 0.0000
! **Calculated total energy**: -0.3180 Ry/atom
! **Magnetization**: 2.4 μB/f.u.



Entry 5:
! SrAsCS2 PBE-GGA optimized geometry; values from VASP
&SYSTEM
  ibrav = 0, nat = 5, ntyp = 4
/
ATOMIC_SPECIES
C 12.01 C.upf
Sr 87.62 Sr.upf
As 74.92 As.upf
S 32.06 S.upf
ATOMIC_POSITIONS crystal
C 0.5000 0.5000 0.5000
Sr 0.0000 0.5000 0.0000
As 0.0000 0.0000 0.0000
S 0.0000 0.0000 0.5000
S 0.5000 0.0000 0.0000
CELL_PARAMETERS angstrom
4.6834 0.0000 0.0000
0.0000 6.1368 0.0000
0.0000 0.0000 4.6834
! **Calculated total energy**: -0.2714 Ry/atom
! **Magnetization**: 2.8 μB/f.u.



Entry 6:
! NaPu2Cl7 PBE-GGA optimized geometry; values from VASP
&SYSTEM
  ibrav = 0, nat = 10, ntyp = 3
/
ATOMIC_SPECIES
Na 22.99 Na.upf
Pu 244.00 Pu.upf
Cl 35.45 Cl.upf
ATOMIC_POSITIONS crystal
Na 0.5000 0.5000 0.5000
Pu 0.0689 0.0689 0.7934
Pu 0.9311 0.9311 0.2066
Cl 0.7175 0.7175 0.8476
Cl 0.5791 0.5791 0.2628
Cl 0.0000 0.0000 0.0000
Cl 0.2825 0.2825 0.1524
Cl 0.1368 0.1368 0.5897
Cl 0.8632 0.8632 0.4103
Cl 0.4209 0.4209 0.7372
CELL_PARAMETERS angstrom
4.7958 0.0000 0.8426
2.3239 4.1951 0.8426
0.0845 0.0498 13.5878
! **Calculated total energy**: -0.4508 Ry/atom
! **Magnetization**: 10.0 μB/f.u.



Entry 7:
! PrDy4HoTm2 PBE-GGA optimized geometry; values from VASP
&SYSTEM
  ibrav = 0, nat = 16, ntyp = 4
/
ATOMIC_SPECIES
Pr 140.91 Pr.upf
Dy 162.50 Dy.upf
Ho 164.93 Ho.upf
Tm 168.93 Tm.upf
ATOMIC_POSITIONS crystal
Pr 0.0000 0.5000 0.0000
Pr 0.0000 0.5000 0.5000
Dy 0.2538 0.7512 0.0022
Dy 0.7488 0.2462 0.4978
Dy 0.2512 0.7538 0.5022
Dy 0.7462 0.2488 0.9978
Dy 0.7449 0.7510 0.9990
Dy 0.7490 0.7551 0.5010
Dy 0.2510 0.2449 0.4990
Dy 0.2551 0.2490 0.0010
Ho 0.5000 0.5000 0.5000
Ho 0.0000 0.0000 0.0000
Tm 0.5000 0.0000 0.0000
Tm 0.5000 0.0000 0.5000
Tm 0.0000 0.0000 0.5000
Tm 0.5000 0.5000 0.0000
CELL_PARAMETERS angstrom
9.3146 -0.0321 -1.6998
-0.0386 9.3145 -1.6998
-5.9225 -5.9267 8.2293
! **Formation energy**: 0.436 eV per atom
! **Magnetization**: 2.6 μB/f.u.



Entry 8:
! PmTe2As2Pd7 PBE-GGA optimized geometry; values from VASP
&SYSTEM
  ibrav = 0, nat = 12, ntyp = 4
/
ATOMIC_SPECIES
Pm 145.00 Pm.upf
Te 127.60 Te.upf
As 74.92 As.upf
Pd 106.42 Pd.upf
ATOMIC_POSITIONS crystal
Pm 0.0000 0.0000 0.0000
Te 0.7922 0.7922 0.4188
Te 0.2078 0.2078 0.5812
As 0.6185 0.6185 0.7586
As 0.3815 0.3815 0.2414
Pd 0.5000 0.5000 0.0000
Pd 0.3005 0.3005 0.4030
Pd 0.6995 0.6995 0.5970
Pd 0.9281 0.4282 0.1467
Pd 0.4282 0.9281 0.1467
Pd 0.5718 0.0719 0.8533
Pd 0.0719 0.5718 0.8533
CELL_PARAMETERS angstrom
4.0508 -0.0017 -0.0147
0.0032 4.0508 -0.0147
2.0476 2.0451 15.0817
! **Calculated total energy**: -0.3822 Ry/atom
! **Magnetization**: 0.0 μB/f.u.



Entry 9:
! ScMn2Pt2 PBE-GGA optimized geometry; values from VASP
&SYSTEM
  ibrav = 0, nat = 5, ntyp = 3
/
ATOMIC_SPECIES
Sc 44.96 Sc.upf
Mn 54.94 Mn.upf
Pt 195.08 Pt.upf
ATOMIC_POSITIONS crystal
Sc 0.0000 0.0000 0.0000
Mn 0.7500 0.2500 0.5000
Mn 0.2500 0.7500 0.5000
Pt 0.3978 0.3978 0.2043
Pt 0.6022 0.6022 0.7957
CELL_PARAMETERS angstrom
3.3677 0.0000 0.0000
0.0000 3.3677 0.0000
1.6838 1.6838 6.7909
! **Formation energy**: -0.272 eV per atom
! **Magnetization**: 0.2 μB/f.u.



Entry 10:
! GaH3Pd6 PBE-GGA optimized geometry; values from VASP
&SYSTEM
  ibrav = 0, nat = 20, ntyp = 3
/
ATOMIC_SPECIES
Ga 69.72 Ga.upf
H 1.01 H.upf
Pd 106.42 Pd.upf
ATOMIC_POSITIONS crystal
Ga 0.7500 0.1227 0.7381
Ga 0.2500 0.8773 0.2619
H 0.7500 0.5294 0.8553
H 0.2500 0.4706 0.1447
H 0.7500 0.5841 0.5255
H 0.2500 0.4159 0.4745
H 0.7500 0.1767 0.1353
H 0.2500 0.8233 0.8647
Pd 0.7500 0.4448 0.6060
Pd 0.2500 0.5552 0.3940
Pd 0.7500 0.9465 0.0895
Pd 0.2500 0.0535 0.9105
Pd 0.7500 0.3336 0.0800
Pd 0.2500 0.6664 0.9200
Pd 0.7500 0.6447 0.1871
Pd 0.2500 0.3553 0.8129
Pd 0.7500 0.1196 0.4661
Pd 0.2500 0.8804 0.5339
Pd 0.7500 0.7740 0.7188
Pd 0.2500 0.2260 0.2812
CELL_PARAMETERS angstrom
2.9384 0.0000 0.0000
0.0000 10.3597 -0.8414
0.0000 -4.3723 8.0191
! **Calculated total energy**: -0.3414 Ry/atom
! **Magnetization**: 0.0 μB/f.u.



Entry 11:
! HRh3I PBE-GGA optimized geometry; values from VASP
&SYSTEM
  ibrav = 0, nat = 5, ntyp = 3
/
ATOMIC_SPECIES
I 126.90 I.upf
H 1.01 H.upf
Rh 102.91 Rh.upf
ATOMIC_POSITIONS crystal
I 0.0000 0.0000 0.0000
H 0.5000 0.5000 0.5000
Rh 0.0000 0.5000 0.0000
Rh 0.0000 0.0000 0.5000
Rh 0.5000 0.0000 0.0000
CELL_PARAMETERS angstrom
4.8874 0.0000 0.0000
0.0000 4.8874 0.0000
0.0000 0.0000 4.8874
! **Calculated total energy**: -0.2684 Ry/atom
! **Magnetization**: 0.6 μB/f.u.



Entry 12:
! Zr2CrP PBE-GGA optimized geometry; values from VASP
&SYSTEM
  ibrav = 0, nat = 4, ntyp = 3
/
ATOMIC_SPECIES
Cr 52.00 Cr.upf
P 30.97 P.upf
Zr 91.22 Zr.upf
ATOMIC_POSITIONS crystal
Cr 0.0000 0.7029 0.4702
P 0.5000 0.5496 0.7755
Zr 0.0000 0.9805 0.9135
Zr 0.5000 0.2671 0.3408
CELL_PARAMETERS angstrom
3.8534 0.0000 0.0000
0.0000 3.6064 0.0052
0.0000 1.7963 5.0122
! **Formation energy**: -0.638 eV per atom
! **Magnetization**: 1.3 μB/f.u.



Entry 13:
! ErTmTlCo PBE-GGA optimized geometry; values from VASP
&SYSTEM
  ibrav = 0, nat = 4, ntyp = 4
/
ATOMIC_SPECIES
Tl 204.38 Tl.upf
Tm 168.93 Tm.upf
Co 58.93 Co.upf
Er 167.26 Er.upf
ATOMIC_POSITIONS crystal
Tl 0.0000 0.0000 0.0000
Tm 0.7500 0.7500 0.7500
Co 0.5000 0.5000 0.5000
Er 0.2500 0.2500 0.2500
CELL_PARAMETERS angstrom
5.0460 0.0000 0.0000
2.5230 4.3700 0.0000
2.5230 1.4567 4.1201
! **Formation energy**: -0.136 eV per atom
! **Magnetization**: 1.2 μB/f.u.



Entry 14:
! BaPaGe2 PBE-GGA optimized geometry; values from VASP
&SYSTEM
  ibrav = 0, nat = 4, ntyp = 3
/
ATOMIC_SPECIES
Ge 72.64 Ge.upf
Pa 231.04 Pa.upf
Ba 137.33 Ba.upf
ATOMIC_POSITIONS crystal
Ge 0.2720 0.2720 0.1841
Ge 0.7280 0.7280 0.8159
Pa 0.0000 0.0000 0.0000
Ba 0.5000 0.5000 0.5000
CELL_PARAMETERS angstrom
-3.1496 1.8880 -2.5819
-4.1983 0.4263 1.5307
-0.8004 7.2425 2.3701
! **Formation energy**: -0.308 eV per atom
! **Magnetization**: 0.3 μB/f.u.



Entry 15:
! Sm3Y8Er2 PBE-GGA optimized geometry; values from VASP
&SYSTEM
  ibrav = 0, nat = 13, ntyp = 3
/
ATOMIC_SPECIES
Sm 150.36 Sm.upf
Y 88.91 Y.upf
Er 167.26 Er.upf
ATOMIC_POSITIONS crystal
Sm 0.5000 0.0000 0.0000
Sm 0.0000 0.3465 0.0717
Sm 0.0000 0.6535 0.9283
Y 0.0000 0.7646 0.3831
Y 0.0000 0.2354 0.6169
Y 0.0000 0.0689 0.2291
Y 0.0000 0.9311 0.7709
Y 0.5000 0.5711 0.6796
Y 0.5000 0.3107 0.8525
Y 0.5000 0.6893 0.1475
Y 0.5000 0.4289 0.3204
Er 0.5000 0.0820 0.4072
Er 0.5000 0.9180 0.5928
CELL_PARAMETERS angstrom
-4.5696 2.2662 1.0355
-3.3572 -7.2897 1.1385
4.7477 5.3521 9.2388
! **Formation energy**: 0.151 eV per atom
! **Magnetization**: 0.0 μB/f.u.



Entry 16:
! LaTe2Os PBE-GGA optimized geometry; values from VASP
&SYSTEM
  ibrav = 0, nat = 4, ntyp = 3
/
ATOMIC_SPECIES
La 138.91 La.upf
Os 190.23 Os.upf
Te 127.60 Te.upf
ATOMIC_POSITIONS crystal
La 0.0000 0.5354 0.5542
Os 0.5000 0.9668 0.6925
Te 0.0000 0.8390 0.9464
Te 0.5000 0.1588 0.3070
CELL_PARAMETERS angstrom
-3.6590 0.6112 1.3815
-0.3605 -4.3145 0.9542
2.3397 -1.0084 6.6431
! **Calculated total energy**: -0.4408 Ry/atom
! **Magnetization**: 0.0 μB/f.u.



Entry 17:
! Sr3CaB PBE-GGA optimized geometry; values from VASP
&SYSTEM
  ibrav = 0, nat = 5, ntyp = 3
/
ATOMIC_SPECIES
Sr 87.62 Sr.upf
Ca 40.08 Ca.upf
B 10.81 B.upf
ATOMIC_POSITIONS crystal
Sr 0.0000 0.5000 0.0000
Sr 0.0000 0.0000 0.5000
Sr 0.5000 0.0000 0.0000
Ca 0.0000 0.0000 0.0000
B 0.5000 0.5000 0.5000
CELL_PARAMETERS angstrom
6.8150 0.0000 0.0000
0.0000 6.8150 0.0000
0.0000 0.0000 6.8150
! **Formation energy**: 1.646 eV per atom
! **Magnetization**: 3.0 μB/f.u.



Entry 18:
! SrBe2Zn PBE-GGA optimized geometry; values from VASP
&SYSTEM
  ibrav = 0, nat = 4, ntyp = 3
/
ATOMIC_SPECIES
Sr 87.62 Sr.upf
Zn 65.41 Zn.upf
Be 9.01 Be.upf
ATOMIC_POSITIONS crystal
Sr 0.5000 0.2500 0.2500
Zn 0.5000 0.7500 0.7500
Be 0.0000 0.9959 0.7498
Be 0.0000 0.5041 0.7502
CELL_PARAMETERS angstrom
4.1109 0.0000 0.0000
0.0000 4.1912 -0.0185
0.0000 0.0240 4.9149
! **Formation energy**: 0.220 eV per atom
! **Magnetization**: 0.0 μB/f.u.



Entry 19:
! CePuNbAl PBE-GGA optimized geometry; values from VASP
&SYSTEM
  ibrav = 0, nat = 4, ntyp = 4
/
ATOMIC_SPECIES
Nb 92.91 Nb.upf
Al 26.98 Al.upf
Ce 140.12 Ce.upf
Pu 244.00 Pu.upf
ATOMIC_POSITIONS crystal
Nb 0.2500 0.2500 0.2500
Al 0.0000 0.0000 0.0000
Ce 0.7500 0.7500 0.7500
Pu 0.5000 0.5000 0.5000
CELL_PARAMETERS angstrom
4.9318 0.0000 0.0000
2.4659 4.2711 0.0000
2.4659 1.4237 4.0268
! **Formation energy**: -0.052 eV per atom
! **Magnetization**: 6.4 μB/f.u.



Entry 20:
! BaTl4Ag PBE-GGA optimized geometry; values from VASP
&SYSTEM
  ibrav = 0, nat = 6, ntyp = 3
/
ATOMIC_SPECIES
Ba 137.33 Ba.upf
Tl 204.38 Tl.upf
Ag 107.87 Ag.upf
ATOMIC_POSITIONS crystal
Ba 0.0000 0.0000 0.0000
Tl 0.8728 0.3757 0.3757
Tl 0.3757 0.3757 0.8728
Tl 0.3757 0.8728 0.3757
Tl 0.3757 0.3757 0.3757
Ag 0.7500 0.7500 0.7500
CELL_PARAMETERS angstrom
0.0000 4.5946 4.5946
4.5946 0.0000 4.5946
4.5946 4.5946 0.0000
! **Formation energy**: -0.006 eV per atom
! **Magnetization**: 0.0 μB/f.u.